Record 1
# Ba2AlTe PBE optimized geometry
data_Ba2AlTe
_space_group_name_H-M_alt 'P 1'
_space_group_IT_number 1
_space_group_name_Hall 'P 1'
_cell_length_a 9.2022
_cell_length_b 9.2022
_cell_length_c 7.7466
_cell_angle_alpha 53.56
_cell_angle_beta 53.56
_cell_angle_gamma 90.00
loop_
_atom_site_label
_atom_site_type_symbol
_atom_site_fract_x
_atom_site_fract_y
_atom_site_fract_z
_atom_site_occupancy
Ba1 Ba 0.3750 0.3682 0.7500 1
Ba2 Ba 0.8750 0.8818 0.7500 1
Ba3 Ba 0.6318 0.1250 0.2500 1
Ba4 Ba 0.1182 0.6250 0.2500 1
Te1 Te 0.7500 0.2500 0.5000 1
Te2 Te 0.0000 0.0000 0.0000 1
Al1 Al 0.5000 0.5000 0.0000 1
Al2 Al 0.2500 0.7500 0.5000 1
# calculated volume	356	Å³/cell
# formation energy from raw total energies	-0.48	eV/atom
# theoretical density	4.0	g/cm³
# crystal system	tetragonal
# space group	I-42d (122)


Record 2
# TbTm4In PBE optimized geometry
data_TbTm4In
_space_group_name_H-M_alt 'P 1'
_space_group_IT_number 1
_space_group_name_Hall 'P 1'
_cell_length_a 3.5270
_cell_length_b 3.5270
_cell_length_c 14.0535
_cell_angle_alpha 90.00
_cell_angle_beta 90.00
_cell_angle_gamma 90.00
loop_
_atom_site_label
_atom_site_type_symbol
_atom_site_fract_x
_atom_site_fract_y
_atom_site_fract_z
_atom_site_occupancy
In1 In 0.5000 0.5000 0.5000 1
Tm1 Tm 0.5000 0.5000 0.1771 1
Tm2 Tm 0.0000 0.0000 0.6487 1
Tm3 Tm 0.5000 0.5000 0.8229 1
Tm4 Tm 0.0000 0.0000 0.3513 1
Tb1 Tb 0.0000 0.0000 0.0000 1
# calculated volume	175	Å³/cell
# ΔH_f (0 K)	-0.89	eV/f.u.
# theoretical density	9.0	g/cm³
# crystal system	tetragonal
# space group	P4/mmm (123)


Record 3
# Sm2YGaN PBE optimized geometry
data_Sm2YGaN
_space_group_name_H-M_alt 'P 1'
_space_group_IT_number 1
_space_group_name_Hall 'P 1'
_cell_length_a 4.7600
_cell_length_b 4.8978
_cell_length_c 4.8978
_cell_angle_alpha 90.00
_cell_angle_beta 90.00
_cell_angle_gamma 90.00
loop_
_atom_site_label
_atom_site_type_symbol
_atom_site_fract_x
_atom_site_fract_y
_atom_site_fract_z
_atom_site_occupancy
Sm1 Sm 0.0000 0.5000 0.0000 1
Sm2 Sm 0.0000 0.0000 0.5000 1
Y1 Y 0.5000 0.0000 0.0000 1
Ga1 Ga 0.5000 0.5000 0.5000 1
N1 N 0.0000 0.0000 0.0000 1
# calculated volume	114	Å³/cell
# formation energy from raw total energies	-0.91	eV/atom
# theoretical density	6.9	g/cm³
# crystal system	tetragonal
# space group	P4/mmm (123)


Record 4
# Sr3I5Cl PBE optimized geometry
data_Sr3I5Cl
_space_group_name_H-M_alt 'P 1'
_space_group_IT_number 1
_space_group_name_Hall 'P 1'
_cell_length_a 4.8850
_cell_length_b 7.5560
_cell_length_c 22.7129
_cell_angle_alpha 93.20
_cell_angle_beta 90.00
_cell_angle_gamma 90.00
loop_
_atom_site_label
_atom_site_type_symbol
_atom_site_fract_x
_atom_site_fract_y
_atom_site_fract_z
_atom_site_occupancy
Sr1 Sr 0.5000 0.4667 0.8215 1
Sr2 Sr 0.5000 0.5000 0.5000 1
Sr3 Sr 0.5000 0.5333 0.1785 1
Sr4 Sr 0.0000 0.0000 0.0000 1
Sr5 Sr 0.0000 0.9715 0.3258 1
Sr6 Sr 0.0000 0.0285 0.6742 1
I1 I 0.0000 0.7467 0.5566 1
I2 I 0.0000 0.3407 0.0978 1
I3 I 0.5000 0.8334 0.0765 1
I4 I 0.5000 0.8152 0.7376 1
I5 I 0.5000 0.2623 0.6200 1
I6 I 0.5000 0.7377 0.3800 1
I7 I 0.5000 0.1666 0.9235 1
I8 I 0.5000 0.1848 0.2624 1
I9 I 0.0000 0.2533 0.4434 1
I10 I 0.0000 0.6593 0.9022 1
Cl1 Cl 0.0000 0.6968 0.2295 1
Cl2 Cl 0.0000 0.3032 0.7705 1
# calculated volume	837	Å³/cell
# formation energy from raw total energies	-1.81	eV/atom
# theoretical density	3.7	g/cm³
# crystal system	monoclinic
# space group	P2/m (10)


Record 5
# RbSeN2 PBE optimized geometry
data_RbSeN2
_space_group_name_H-M_alt 'P 1'
_space_group_IT_number 1
_space_group_name_Hall 'P 1'
_cell_length_a 7.7285
_cell_length_b 7.7285
_cell_length_c 7.7285
_cell_angle_alpha 23.77
_cell_angle_beta 23.77
_cell_angle_gamma 23.77
loop_
_atom_site_label
_atom_site_type_symbol
_atom_site_fract_x
_atom_site_fract_y
_atom_site_fract_z
_atom_site_occupancy
N1 N 0.8822 0.8822 0.8822 1
N2 N 0.1178 0.1178 0.1178 1
Se1 Se 0.5000 0.5000 0.5000 1
Rb1 Rb 0.0000 0.0000 0.0000 1
# calculated volume	66	Å³/cell
# formation energy from raw total energies	1.29	eV/atom
# theoretical density	4.8	g/cm³
# crystal system	trigonal
# space group	R-3m (166)


Record 6
# CrNiPd4 PBE optimized geometry
data_CrNiPd4
_space_group_name_H-M_alt 'P 1'
_space_group_IT_number 1
_space_group_name_Hall 'P 1'
_cell_length_a 4.8027
_cell_length_b 7.0449
_cell_length_c 6.6548
_cell_angle_alpha 114.21
_cell_angle_beta 100.72
_cell_angle_gamma 109.29
loop_
_atom_site_label
_atom_site_type_symbol
_atom_site_fract_x
_atom_site_fract_y
_atom_site_fract_z
_atom_site_occupancy
Pd1 Pd 0.3581 0.9145 0.6190 1
Pd2 Pd 0.9435 0.8042 0.2018 1
Pd3 Pd 0.2418 0.6024 0.7982 1
Pd4 Pd 0.0565 0.1958 0.7982 1
Pd5 Pd 0.6419 0.0855 0.3810 1
Pd6 Pd 0.7582 0.3976 0.2018 1
Pd7 Pd 0.2391 0.2955 0.3810 1
Pd8 Pd 0.7609 0.7045 0.6190 1
Ni1 Ni 0.7481 0.9981 0.9961 1
Ni2 Ni 0.2519 0.0019 0.0039 1
Cr1 Cr 0.3520 0.6020 0.2040 1
Cr2 Cr 0.6480 0.3980 0.7960 1
# calculated volume	180	Å³/cell
# ΔH_f (0 K)	0.47	eV/f.u.
# theoretical density	9.9	g/cm³
# crystal system	monoclinic
# space group	C2/c (15)


Q: Number 5 is which compound?
A: RbSeN2


Q: The highest theoretical density belongs to which entry?
A: CrNiPd4


Q: calculated volume of number 5 (RbSeN2)?
A: 66 Å³/cell